Entry 1:
The following is a GGA-PBE calculation of a relaxed MgSe crystal, from Alexandria via LeMat-Bulk.

Summary:
Uncorrected formation energy   -1105 meV per atom
Symmetry   Imm2
DFT total energy   -21.9 eV/cell
Crystal system   orthorhombic
Total magnetization   0.00 μB/f.u.
Calculated density   3.7 g cm⁻³

Unit cell a=6.8771 b=6.8771 c=6.8771 alpha=149.40 beta=66.06 gamma=123.03
Last column: nearest neighbours and their distance in Å.
Sites, in units of the cell vectors:
1 Mg 0.0000 0.0000 0.0000  6 Se 2.81-2.84
2 Mg 0.3773 0.5269 0.8504  5 Se 2.57-2.81
3 Mg 0.6766 0.5269 0.1496  5 Se 2.57-2.81
4 Se 0.3336 0.8336 0.5000  6 Mg 2.81-2.84
5 Se 0.6696 0.3279 0.3417  5 Mg 2.57-2.81
6 Se 0.9862 0.3279 0.6583  5 Mg 2.57-2.81

***

Entry 2:
The following is a GGA-PBE calculation of a relaxed IrPt3S8 crystal, from Alexandria via LeMat-Bulk.

Summary:
Uncorrected formation energy   -318 meV per atom
Symmetry   C2/m
DFT total energy   -63.8 eV/cell
Crystal system   monoclinic
Total magnetization   0.00 μB/f.u.
Calculated density   6.8 g cm⁻³

Unit cell a=7.0361 b=7.0361 c=7.0513 alpha=118.99 beta=118.99 gamma=61.09
Last column: nearest neighbours and their distance in Å.
Sites, in units of the cell vectors:
1 Ir 0.0000 0.0000 0.0000  6 S 2.38
2 Pt 0.0000 0.5000 0.5000  6 S 2.40-2.41
3 Pt 0.5000 0.0000 0.5000  6 S 2.40-2.41
4 Pt 0.5000 0.5000 0.0000  6 S 2.40-2.41
5 S 0.2369 0.2369 0.2591  1 Ir 2.38, 2 Pt 2.41
6 S 0.2368 0.7418 0.7640  1 Ir 2.38, 2 Pt 2.41
7 S 0.2582 0.7632 0.2360  1 Ir 2.38, 2 Pt 2.41
8 S 0.2619 0.2619 0.7373  3 Pt 2.40
9 S 0.7381 0.7381 0.2627  3 Pt 2.40
10 S 0.7418 0.2368 0.7640  1 Ir 2.38, 2 Pt 2.41
11 S 0.7632 0.2582 0.2360  1 Ir 2.38, 2 Pt 2.41
12 S 0.7631 0.7631 0.7409  1 Ir 2.38, 2 Pt 2.41

***

Entry 3:
The following is a GGA-PBE calculation of a relaxed NdMgZn crystal, from Alexandria via LeMat-Bulk.

Summary:
Symmetry   I4mm
DFT total energy   -8.1 eV/cell
Crystal system   tetragonal
Total magnetization   0.00 μB/f.u.
DFT formation energy   -43 kJ/mol of formula units
Calculated density   5.4 g cm⁻³

Unit cell a=6.6932 b=6.6932 c=6.6932 alpha=150.56 beta=150.56 gamma=42.12
Last column: nearest neighbours and their distance in Å.
Sites, in units of the cell vectors:
1 Nd 0.0000 0.0000 0.0000  4 Zn 3.16, 4 Nd 3.40, 4 Mg 3.52
2 Mg 0.7061 0.7061 0.0000  4 Zn 2.90
3 Zn 0.3357 0.3357 0.0000  4 Mg 2.90, 4 Nd 3.16

***

| no. | calculated volume (Å³ per atom) |
| --- | --- |
| 1 | 22.88 |
| 2 | 21.05 |
| 3 | 24.09 |